Record 1
An optimized crystal structure of Al2V3Ga2. Source: Alexandria via LeMat-Bulk, functional PBE-GGA.

Cell: 4.4422 5.0823 5.0442 Å, 84.22 90.01 115.92°
Element x y z (fractional)
Al (0.8545, 0.7079, 0.5814)
V (0.7281, 0.4568, 0.1295)
Ga (0.5689, 0.1383, 0.7249)
V (0.0000, 0.0000, 0.0000)
Ga (0.4311, 0.8617, 0.2751)
Al (0.1455, 0.2921, 0.4186)
V (0.2719, 0.5432, 0.8705)

The value obtained for the energy relative to the elements is -0.12 eV per atom. As for the space group: P-1.

Record 2
An optimized crystal structure of CuHgSe2O8. Source: Alexandria via LeMat-Bulk, functional PBE-GGA.

Cell: 4.9353 4.9353 7.9668 Å, 71.96 71.96 60.00°
Site moments in Bohr magnetons follow the coordinates.
Element x y z (fractional)
Hg (0.5000, 0.5000, 0.5000)  -0.04
O (0.8203, 0.8203, 0.5390)  0.01
O (0.3927, 0.7293, 0.8310)  0.07
O (0.2707, 0.9530, 0.1690)  0.07
O (0.1797, 0.1797, 0.4610)  0.01
O (0.7293, 0.0470, 0.8310)  0.07
Cu (0.0000, 0.0000, 0.0000)  0.69
Se (0.2555, 0.2555, 0.2336)  0.00
O (0.6073, 0.2707, 0.1690)  0.07
O (0.9530, 0.6073, 0.1690)  0.07
Se (0.7445, 0.7445, 0.7664)  0.00
O (0.0470, 0.3927, 0.8310)  0.07

For the formation energy from raw total energies, the calculation gives -402 meV per atom. As for the space group: R-3.